## Ca2Rh2Au (PBE)

Data for crystalline Ca2Rh2Au at its relaxed geometry.

Relative energy among the computed polymorphs: 0 meV per atom
Space-group type: P4/mbm
Total energy: -4.84 eV/atom
Fermi-level density of states: 1.225 states/eV/atom
M_tot: 0.0 μB per formula unit
ΔH_f (0 K): -2.2 eV/f.u.

a b c (Å): 6.982 6.982 4.280
angles (deg): 90.00 90.00 90.00
Atoms (fractional coordinates):
Ca (0.176, 0.676, 0.500)
Ca (0.824, 0.324, 0.500)
Ca (0.324, 0.176, 0.500)
Ca (0.676, 0.824, 0.500)
Rh (0.629, 0.129, 0.000)
Rh (0.871, 0.629, 0.000)
Rh (0.371, 0.871, 0.000)
Rh (0.129, 0.371, 0.000)
Au (0.500, 0.500, 0.000)
Au (0.000, 0.000, 0.000)